MgZr2Mn, relaxed, DFT PBE; SG = No. 122; calculated density = 5.408 g cm⁻³; total energy = -6.5165 eV/atom; formation energy from the elements = 0.449 eV/atom
1.0
7.482 0.000 0.000
0.000 7.482 0.000
3.741 3.741 2.871
Mg Mn Zr
2 2 4
Direct
0.500 0.500 0.000
0.250 0.750 0.500
0.000 0.000 0.000
0.750 0.250 0.500
0.675 0.125 0.250
0.075 0.625 0.250
0.375 0.325 0.750
0.875 0.925 0.750